1.
# Dy3Cu4Ge4 (meta-GGA SCAN, PBEsol geometry)
data_Dy3Cu4Ge4
_chemical_formula_sum 'Dy3 Cu4 Ge4'
_space_group_name_H-M_alt 'P 1'
_space_group_IT_number 1
_cell_length_a 7.873
_cell_length_b 7.873
_cell_length_c 7.873
_cell_angle_alpha 149.51
_cell_angle_beta 130.89
_cell_angle_gamma 58.91
loop_
_space_group_symop_operation_xyz
'x,y,z'
loop_
_atom_site_label
_atom_site_type_symbol
_atom_site_fract_x
_atom_site_fract_y
_atom_site_fract_z
_atom_site_occupancy
Dy1 Dy 0.000 0.000 0.000 1
Dy2 Dy 0.370 0.870 0.500 1
Dy3 Dy 0.630 0.130 0.500 1
Cu1 Cu 0.021 0.331 0.690 1
Cu2 Cu 0.359 0.669 0.690 1
Cu3 Cu 0.641 0.331 0.310 1
Cu4 Cu 0.979 0.669 0.310 1
Ge1 Ge 0.217 0.217 0.000 1
Ge2 Ge 0.308 0.500 0.808 1
Ge3 Ge 0.692 0.500 0.192 1
Ge4 Ge 0.783 0.783 0.000 1
# * uncorrected energy: -26.23 eV/atom
# * DOS(E_F): 2.4 states/eV/f.u.
# * calculated volume: 16.880 Å³/atom
# * energy of formation: -724 meV per atom

***

2.
# Dy2CuGe2O8 (meta-GGA SCAN, PBEsol geometry)
data_Dy2CuGe2O8
_chemical_formula_sum 'Dy4 Cu2 Ge4 O16'
_space_group_name_H-M_alt 'P 1'
_space_group_IT_number 1
_cell_length_a 8.832
_cell_length_b 8.832
_cell_length_c 5.072
_cell_angle_alpha 106.38
_cell_angle_beta 106.38
_cell_angle_gamma 115.38
loop_
_space_group_symop_operation_xyz
'x,y,z'
loop_
_atom_site_label
_atom_site_type_symbol
_atom_site_fract_x
_atom_site_fract_y
_atom_site_fract_z
_atom_site_occupancy
Dy1 Dy 0.119 0.881 0.000 1
Dy2 Dy 0.378 0.619 0.507 1
Dy3 Dy 0.619 0.378 0.507 1
Dy4 Dy 0.881 0.119 0.000 1
Cu1 Cu 0.089 0.503 0.813 1
Cu2 Cu 0.503 0.089 0.813 1
Ge1 Ge 0.257 0.257 0.800 1
Ge2 Ge 0.531 0.954 0.267 1
Ge3 Ge 0.754 0.754 0.216 1
Ge4 Ge 0.954 0.531 0.267 1
O1 O 0.075 0.417 0.109 1
O2 O 0.081 0.081 0.840 1
O3 O 0.161 0.678 0.638 1
O4 O 0.167 0.356 0.590 1
O5 O 0.321 0.793 0.260 1
O6 O 0.356 0.167 0.590 1
O7 O 0.417 0.075 0.109 1
O8 O 0.425 0.425 0.193 1
O9 O 0.582 0.582 0.832 1
O10 O 0.583 0.920 0.945 1
O11 O 0.661 0.847 0.440 1
O12 O 0.678 0.161 0.638 1
O13 O 0.793 0.321 0.260 1
O14 O 0.847 0.661 0.440 1
O15 O 0.920 0.583 0.945 1
O16 O 0.930 0.930 0.180 1
# * raw formation energy: -245.4 kJ/mol of atoms
# * uncorrected energy: -17.84 eV/atom
# * DOS(E_F): 0.0 states/eV/f.u.
# * calculated volume: 11.677 Å³/atom

***

no.,spin magnetization (Bohr magnetons per cell)
1,0.00
2,2.05